Material: Sr2Cd6Sn3
Method: DFT, PBE
State: relaxed

Computed properties:
* calculated formation energy: -3.181 eV per formula unit
* symmetry: P-62m, No. 189
* D(E_F): 0.38 states/eV/atom
* spin magnetization: 0.0 μB per cell

a = 4.743 Å, b = 8.671 Å, c = 8.671 Å
α = 120.00°, β = 90.00°, γ = 90.00°
Sites, in units of the cell vectors:
Sn  0.500  0.618  0.000
Sn  0.500  0.000  0.618
Sn  0.500  0.382  0.382
Cd  0.500  0.285  0.000
Cd  0.500  0.000  0.285
Cd  0.000  0.192  0.192
Cd  0.500  0.715  0.715
Cd  0.000  0.000  0.808
Cd  0.000  0.808  0.000
Sr  0.000  0.333  0.667
Sr  0.000  0.667  0.333